[1]
Entry from Alexandria: a geometry-optimized SrMg2Fe structure (PBE).

Results
SG: No. 166

Cell lengths 10.2915, 10.2915, 10.2915 Å; angles 18.73, 18.73, 18.73 degrees
Closest atoms and distances in Å follow each position.
Element x y z (fractional)
Sr1 0.2500 0.2500 0.2500  6 Sr 3.35, 6 Mg 3.61
Mg1 0.0172 0.0172 0.0172  3 Fe 2.79
Fe1 0.7500 0.7500 0.7500  6 Mg 2.79
Mg2 0.4828 0.4828 0.4828  3 Fe 2.79


[2]
Entry from Alexandria: a geometry-optimized Sr2MgFe structure (PBE).

Results
SG: No. 38

Cell lengths 4.7236, 4.6771, 6.5349 Å; angles 69.00, 90.00, 90.00 degrees
Closest atoms and distances in Å follow each position.
Element x y z (fractional)
Sr1 0.5000 0.2695 0.3366  3 Mg 3.37-3.67, 4 Fe 3.50
Mg1 0.5000 0.5691 0.7358  2 Fe 2.71
Sr2 0.0000 0.9821 0.9104  3 Fe 3.35-3.70, 4 Mg 3.49
Fe1 0.0000 0.6793 0.5172  2 Mg 2.71


[3]
Entry from Alexandria: a geometry-optimized SrMg2Fe structure (PBE).

Results
SG: No. 47

Cell lengths 4.5812, 4.5281, 6.6718 Å; angles 47.27, 90.00, 90.00 degrees
Closest atoms and distances in Å follow each position.
Element x y z (fractional)
Mg1 0.5000 0.5000 0.0000  4 Mg 3.22, 4 Sr 3.34, 4 Fe 3.35
Fe1 0.0000 0.0000 0.5000  4 Sr 3.22, 8 Mg 3.34-3.35
Sr1 0.5000 0.5000 0.5000  4 Fe 3.22, 8 Mg 3.34-3.35
Mg2 0.0000 0.0000 0.0000  4 Mg 3.22, 4 Fe 3.34, 4 Sr 3.35


[4]
Entry from Alexandria: a geometry-optimized SrMgFe2 structure (PBE).

Results
SG: No. 123

Cell lengths 4.5425, 4.5400, 4.0302 Å; angles 90.00, 90.00, 90.00 degrees
Closest atoms and distances in Å follow each position.
Element x y z (fractional)
Mg1 0.5000 0.0000 0.5000  8 Fe 3.04, 4 Sr 3.21
Sr1 0.0000 0.5000 0.5000  8 Fe 3.04, 4 Mg 3.21
Fe1 0.0000 0.0000 0.0000  4 Sr 3.04, 4 Mg 3.04, 4 Fe 3.21
Fe2 0.5000 0.5000 0.0000  4 Mg 3.04, 4 Sr 3.04, 4 Fe 3.21


[5]
Entry from Alexandria: a geometry-optimized Sr2MgFe structure (PBE).

Results
SG: No. 44

Cell lengths 6.8112, 6.8112, 6.8112 Å; angles 147.95, 130.95, 59.80 degrees
Closest atoms and distances in Å follow each position.
Element x y z (fractional)
Fe1 0.4726 0.4726 0.0000  2 Mg 2.74
Sr1 0.0118 0.0118 0.0000  4 Fe 3.43, 4 Sr 3.69-3.76, 2 Mg 3.75
Mg1 0.3037 0.8037 0.5000  2 Fe 2.74
Sr2 0.7120 0.2120 0.5000  2 Fe 3.40, 4 Mg 3.56, 4 Sr 3.69-3.76


[6]
Entry from Alexandria: a geometry-optimized SrMg3Fe structure (PBE).

Results
ΔE to the lowest computed polymorph, meV/atom: 1764
SG: No. 221

Cell lengths 6.2641, 6.2641, 6.2641 Å; angles 90.00, 90.00, 90.00 degrees
Closest atoms and distances in Å follow each position.
Element x y z (fractional)
Fe1 0.5000 0.5000 0.5000  12 Mg 4.43
Mg1 0.0000 0.0000 0.5000  2 Sr 3.13
Sr1 0.0000 0.0000 0.0000  6 Mg 3.13
Mg2 0.5000 0.0000 0.0000  2 Sr 3.13
Mg3 0.0000 0.5000 0.0000  2 Sr 3.13


[7]
Entry from Alexandria: a geometry-optimized SrMgFe3 structure (PBE).

Results
SG: No. 221

Cell lengths 4.7892, 4.7892, 4.7892 Å; angles 90.00, 90.00, 90.00 degrees
Closest atoms and distances in Å follow each position.
Element x y z (fractional)
Mg1 0.0000 0.0000 0.0000  6 Fe 2.39
Fe1 0.0000 0.5000 0.0000  2 Mg 2.39
Sr1 0.5000 0.5000 0.5000  12 Fe 3.39
Fe2 0.5000 0.0000 0.0000  2 Mg 2.39
Fe3 0.0000 0.0000 0.5000  2 Mg 2.39


[8]
Entry from Alexandria: a geometry-optimized SrMgFe2 structure (PBE).

Results
SG: No. 10

Cell lengths 4.5312, 3.0539, 6.3869 Å; angles 80.74, 90.00, 90.00 degrees
Closest atoms and distances in Å follow each position.
Element x y z (fractional)
Mg1 0.5000 0.2500 0.2500  4 Fe 2.60
Fe1 0.0000 0.0090 0.1047  1 Fe 2.24
Sr1 0.5000 0.7500 0.7500  2 Sr 3.05, 2 Mg 3.31, 4 Fe 3.39
Fe2 0.0000 0.4910 0.3953  1 Fe 2.24


Quick rundown of energy of formation from the pure elements, same order as above: 0.5295; 0.3716; 0.4731; 0.7724; 0.4007; 2.0212; 1.1583; 0.5595 eV/atom